Entry from the Alexandria database: Ce3ThAu after structural relaxation (PBE-GGA).

Cell: 7.6183 7.6183 7.6183 Å, 133.28 87.80 110.66°
Fractional positions:
Ce1 0.0000 0.0000 0.5000
Ce2 0.0000 0.5000 0.0000
Ce3 0.2007 0.1131 0.0876
Ce4 0.4745 0.8869 0.5876
Ce5 0.5255 0.1131 0.4124
Ce6 0.7993 0.8869 0.9124
Th1 0.0000 0.5000 0.5000
Th2 0.5000 0.5000 0.0000
Au1 0.3412 0.5912 0.7500
Au2 0.6588 0.4088 0.2500

Computed properties:
V, Å³/cell: 287
Total energy, eV/atom: -5.75
Space group: Imma, No. 74
Formation energy, kJ/mol of atoms: -4
DOS(E_F), states/eV per cell: 29.728